Here is a relaxed structure of Nd4As3S from the Alexandria database. Energies are from PBE.

Computed properties:
For the total magnetization, the calculation gives 0.0 μB/f.u. The density of states at the Fermi level comes out at 2.139 states/eV/cell. Its space-group type is No. 139. For the total energy, the calculation gives -6.314 eV/atom. The value obtained for the volume is 26.7 Å³/atom. Its raw formation energy is -1670 meV per atom.

Lattice parameters (Å, degrees): 5.9802 5.9802 7.3210 114.10 114.10 90.00
Element x y z (fractional)
1 As 0.5000 0.5000 0.0000
2 As 0.7500 0.2500 0.5000
3 As 0.2500 0.7500 0.5000
4 Nd 0.0000 0.5000 0.0000
5 Nd 0.5000 0.0000 0.0000
6 Nd 0.2495 0.2495 0.4990
7 Nd 0.7505 0.7505 0.5010
8 S 0.0000 0.0000 0.0000